{"formula": "ZnFe2Cl", "functional": "GGA-PBE", "state": "relaxed", "sg": "I4/mmm (139)", "e_above_lowest_polymorph_kj_per_mol_atoms": 51.7, "raw_formation_energy_ev_per_fu": 2.41, "cell": [[-4.756, 1.869, -0.881], [-3.062, -2.318, -3.485], [2.955, -1.323, 4.051]], "species": ["Zn", "Fe", "Fe", "Cl"], "frac_coords": [[0.250, 0.750, 0.500], [0.000, 0.000, 0.000], [0.500, 0.500, 0.000], [0.750, 0.250, 0.500]]}

=====

{"formula": "LaPb3O", "functional": "GGA-PBE", "state": "relaxed", "sg": "Pm-3m (221)", "e_above_lowest_polymorph_kj_per_mol_atoms": 160.9, "raw_formation_energy_ev_per_fu": 5.64, "cell": [[-5.979, -0.127, -1.563], [0.134, -6.180, -0.008], [-1.563, -0.041, 5.980]], "species": ["Pb", "Pb", "Pb", "O", "La"], "frac_coords": [[0.000, 0.500, 0.000], [0.000, 0.000, 0.500], [0.500, 0.000, 0.000], [0.500, 0.500, 0.500], [0.000, 0.000, 0.000]]}

=====

{"formula": "PuGa4RuPt2", "functional": "GGA-PBE", "state": "relaxed", "delta_e_f_ev_per_fu": -4.3, "sg": "R-3m (166)", "cell": [[4.273, 0.000, 0.000], [2.137, 3.701, 0.000], [2.137, 1.234, 8.733]], "species": ["Pu", "Ga", "Ga", "Ga", "Ga", "Ru", "Pt", "Pt"], "frac_coords": [[0.000, 0.000, 0.000], [0.399, 0.399, 0.803], [0.867, 0.867, 0.398], [0.133, 0.133, 0.602], [0.601, 0.601, 0.197], [0.500, 0.500, 0.500], [0.763, 0.763, 0.712], [0.237, 0.237, 0.288]]}

=====

Question: Number 1 is which compound?
Answer: ZnFe2Cl

=====

What did the second record say?
{"formula": "LaPb3O", "functional": "GGA-PBE", "state": "relaxed", "sg": "Pm-3m (221)", "e_above_lowest_polymorph_kj_per_mol_atoms": 160.9, "raw_formation_energy_ev_per_fu": 5.64, "cell": [[-5.979, -0.127, -1.563], [0.134, -6.180, -0.008], [-1.563, -0.041, 5.980]], "species": ["Pb", "Pb", "Pb", "O", "La"], "frac_coords": [[0.000, 0.500, 0.000], [0.000, 0.000, 0.500], [0.500, 0.000, 0.000], [0.500, 0.500, 0.500], [0.000, 0.000, 0.000]]}

=====

What did the second record say?
{"formula": "LaPb3O", "functional": "GGA-PBE", "state": "relaxed", "sg": "Pm-3m (221)", "e_above_lowest_polymorph_kj_per_mol_atoms": 160.9, "raw_formation_energy_ev_per_fu": 5.64, "cell": [[-5.979, -0.127, -1.563], [0.134, -6.180, -0.008], [-1.563, -0.041, 5.980]], "species": ["Pb", "Pb", "Pb", "O", "La"], "frac_coords": [[0.000, 0.500, 0.000], [0.000, 0.000, 0.500], [0.500, 0.000, 0.000], [0.500, 0.500, 0.500], [0.000, 0.000, 0.000]]}